1.
A plane-wave DFT calculation with PBE-GGA was carried out for an optimized crystal structure of Er8Ni2Au.

D(E_F) in states/eV/atom: 1.1698
Final energy in eV/atom: -4.985

Unit cell a=9.0193 b=9.0193 c=6.6266 alpha=105.57 beta=105.57 gamma=32.03
Last column: nearest neighbours and their distance in Å.
Positions (direct):
Er  0.0367  0.0367  0.2806  1 Ni 2.65
Er  0.2021  0.2021  0.8383  1 Ni 2.69
Er  0.3244  0.3244  0.5126  1 Ni 2.65
Er  0.4063  0.4063  0.0329  1 Au 3.07, 2 Ni 3.17, 5 Er 3.34-3.41
Er  0.5937  0.5937  0.9671  1 Au 3.07, 2 Ni 3.17, 5 Er 3.34-3.41
Er  0.6756  0.6756  0.4874  1 Ni 2.65
Er  0.7979  0.7979  0.1617  1 Ni 2.69
Er  0.9633  0.9633  0.7194  1 Ni 2.65
Ni  0.1826  0.1826  0.2274  3 Er 2.65-2.69
Ni  0.8174  0.8174  0.7726  3 Er 2.65-2.69
Au  0.5000  0.5000  0.5000  8 Er 3.04-3.07

***

2.
A plane-wave DFT calculation with PBE-GGA was carried out for an optimized crystal structure of Co3CuC.

D(E_F) in states/eV/atom: 1.4110
Final energy in eV/atom: -6.749

Unit cell a=3.7234 b=3.7234 c=3.7234 alpha=90.00 beta=90.00 gamma=90.00
Last column: nearest neighbours and their distance in Å.
Positions (direct):
Co  0.0000  0.0000  0.5000  2 C 1.86
Co  0.0000  0.5000  0.0000  2 C 1.86
Co  0.5000  0.0000  0.0000  2 C 1.86
Cu  0.5000  0.5000  0.5000  12 Co 2.63
C  0.0000  0.0000  0.0000  6 Co 1.86

***

> What is the final energy in the second record?

-6.749 eV/atom

***

> What is the formula in the first record?

Er8Ni2Au

***

> Look up the D(E_F) of the first one.

1.1698 states/eV/atom

***

> Which of these has the highest D(E_F)?

Co3CuC